Entry 1:
{"formula": "SbSCl9", "functional": "PBE-GGA", "state": "relaxed", "raw_formation_energy_ev_per_atom": -0.452, "e_above_lowest_polymorph_mev_per_atom": 16, "lattice": [[9.120, -0.007, -0.006], [2.117, 8.871, -0.006], [2.117, 1.670, 8.712]], "species": ["Sb", "Sb", "S", "S", "Cl", "Cl", "Cl", "Cl", "Cl", "Cl", "Cl", "Cl", "Cl", "Cl", "Cl", "Cl", "Cl", "Cl", "Cl", "Cl", "Cl", "Cl"], "fractional_positions": [[0.500, 0.500, 0.500], [0.000, 0.000, 0.000], [0.703, 0.703, 0.703], [0.297, 0.297, 0.297], [0.028, 0.028, 0.726], [0.972, 0.972, 0.274], [0.972, 0.274, 0.972], [0.726, 0.028, 0.028], [0.028, 0.726, 0.028], [0.274, 0.972, 0.972], [0.371, 0.674, 0.674], [0.326, 0.629, 0.326], [0.629, 0.326, 0.326], [0.674, 0.371, 0.674], [0.326, 0.326, 0.629], [0.674, 0.674, 0.371], [0.067, 0.344, 0.344], [0.656, 0.933, 0.656], [0.933, 0.656, 0.656], [0.344, 0.067, 0.344], [0.344, 0.344, 0.067], [0.656, 0.656, 0.933]]}


Entry 2:
{"formula": "Sb5S12Cl3", "functional": "PBE-GGA", "state": "relaxed", "raw_formation_energy_ev_per_atom": 0.290, "dos_ef_per_ev_cell": 83.119, "lattice": [[-12.882, 3.564, 4.024], [0.155, -2.081, -13.802], [3.831, -11.734, 6.518]], "species": ["Cl", "Cl", "Cl", "Cl", "Cl", "Cl", "Cl", "Cl", "Cl", "Cl", "Cl", "Cl", "Sb", "Sb", "Sb", "Sb", "Sb", "Sb", "Sb", "Sb", "Sb", "Sb", "Sb", "Sb", "Sb", "Sb", "Sb", "Sb", "Sb", "Sb", "Sb", "Sb", "S", "S", "S", "S", "S", "S", "S", "S", "S", "S", "S", "S", "S", "S", "S", "S", "S", "S", "S", "S", "S", "S", "S", "S", "S", "S", "S", "S", "S", "S", "S", "S", "S", "S", "S", "S", "S", "S", "S", "S", "S", "S", "S", "S", "S", "S", "S", "S"], "fractional_positions": [[0.750, 0.375, 0.125], [0.875, 0.750, 0.125], [0.375, 0.750, 0.625], [0.250, 0.125, 0.375], [0.875, 0.125, 0.250], [0.375, 0.625, 0.250], [0.625, 0.375, 0.750], [0.125, 0.875, 0.750], [0.750, 0.875, 0.625], [0.625, 0.250, 0.375], [0.125, 0.250, 0.875], [0.250, 0.625, 0.875], [0.125, 0.375, 0.250], [0.000, 0.500, 0.000], [0.000, 0.000, 0.000], [0.375, 0.250, 0.125], [0.500, 0.000, 0.500], [0.500, 0.500, 0.000], [0.125, 0.750, 0.375], [0.750, 0.125, 0.875], [0.750, 0.625, 0.375], [0.375, 0.125, 0.750], [0.625, 0.875, 0.250], [0.500, 0.500, 0.500], [0.500, 0.000, 0.000], [0.000, 0.000, 0.500], [0.250, 0.375, 0.625], [0.250, 0.875, 0.125], [0.000, 0.500, 0.500], [0.875, 0.250, 0.625], [0.625, 0.750, 0.875], [0.875, 0.625, 0.750], [0.720, 0.108, 0.031], [0.311, 0.531, 0.423], [0.969, 0.392, 0.280], [0.531, 0.220, 0.108], [0.612, 0.720, 0.689], [0.969, 0.577, 0.189], [0.311, 0.780, 0.388], [0.077, 0.888, 0.108], [0.577, 0.969, 0.689], [0.720, 0.612, 0.189], [0.780, 0.469, 0.392], [0.811, 0.923, 0.031], [0.108, 0.720, 0.531], [0.392, 0.423, 0.112], [0.112, 0.923, 0.392], [0.388, 0.108, 0.577], [0.112, 0.189, 0.220], [0.469, 0.689, 0.077], [0.811, 0.888, 0.280], [0.108, 0.388, 0.077], [0.392, 0.969, 0.780], [0.577, 0.608, 0.388], [0.923, 0.811, 0.531], [0.780, 0.311, 0.888], [0.423, 0.392, 0.612], [0.077, 0.189, 0.469], [0.220, 0.689, 0.112], [0.189, 0.112, 0.720], [0.608, 0.031, 0.220], [0.892, 0.612, 0.923], [0.531, 0.311, 0.923], [0.612, 0.892, 0.423], [0.888, 0.811, 0.780], [0.888, 0.077, 0.608], [0.892, 0.280, 0.469], [0.189, 0.077, 0.969], [0.608, 0.577, 0.888], [0.423, 0.031, 0.311], [0.280, 0.388, 0.811], [0.220, 0.531, 0.608], [0.923, 0.112, 0.892], [0.689, 0.220, 0.612], [0.469, 0.780, 0.892], [0.031, 0.423, 0.811], [0.388, 0.280, 0.311], [0.031, 0.608, 0.720], [0.689, 0.469, 0.577], [0.280, 0.892, 0.969]]}


Entry 3:
{"formula": "ScSbSCl2", "functional": "PBE-GGA", "state": "relaxed", "raw_formation_energy_ev_per_atom": -0.863, "e_above_lowest_polymorph_mev_per_atom": 0, "dos_ef_per_ev_cell": 1.690, "lattice": [[4.922, 0.000, 0.000], [0.000, 4.922, 0.000], [0.000, 0.000, 5.246]], "species": ["Sc", "Sb", "S", "Cl", "Cl"], "fractional_positions": [[0.000, 0.000, 0.000], [0.500, 0.500, 0.500], [0.000, 0.000, 0.500], [0.000, 0.500, 0.000], [0.500, 0.000, 0.000]]}


Entry 4:
{"formula": "ScSbSCl2", "functional": "PBE-GGA", "state": "relaxed", "raw_formation_energy_ev_per_atom": -0.119, "e_above_lowest_polymorph_mev_per_atom": 744, "dos_ef_per_ev_cell": 6.599, "lattice": [[-5.063, -0.360, 1.508], [1.541, -0.619, 5.028], [-0.165, 5.216, 0.693]], "species": ["Sc", "Sb", "S", "Cl", "Cl"], "fractional_positions": [[0.500, 0.500, 0.500], [0.000, 0.000, 0.000], [0.000, 0.000, 0.500], [0.000, 0.500, 0.000], [0.500, 0.000, 0.000]]}


Entry 5:
{"formula": "SbSeS2Cl", "functional": "PBE-GGA", "state": "relaxed", "raw_formation_energy_ev_per_atom": 0.502, "e_above_lowest_polymorph_mev_per_atom": 66, "dos_ef_per_ev_cell": 2.579, "lattice": [[-3.722, -2.754, 2.162], [-2.060, -0.829, -4.603], [2.906, -4.336, -0.519]], "species": ["Sb", "S", "S", "Se", "Cl"], "fractional_positions": [[0.000, 0.000, 0.000], [0.000, 0.500, 0.000], [0.500, 0.000, 0.000], [0.500, 0.500, 0.500], [0.000, 0.000, 0.500]]}


Entry 6:
{"formula": "SbSeS2Cl", "functional": "PBE-GGA", "state": "relaxed", "raw_formation_energy_ev_per_atom": 0.436, "e_above_lowest_polymorph_mev_per_atom": 0, "dos_ef_per_ev_cell": 3.006, "lattice": [[4.931, 0.000, 0.000], [0.000, 4.931, 0.000], [0.000, 0.000, 4.775]], "species": ["Sb", "S", "S", "Se", "Cl"], "fractional_positions": [[0.500, 0.500, 0.500], [0.000, 0.500, 0.000], [0.500, 0.000, 0.000], [0.000, 0.000, 0.000], [0.000, 0.000, 0.500]]}